1.
## Tb3SmPb2 (PBE)

Data for a relaxed structure of Tb3SmPb2.

Geometry as extended XYZ:
```
12
Lattice="-3.759 7.332 3.774 3.759 -7.332 3.774 3.759 7.332 -3.774" Properties=species:S:1:pos:R:3 pbc="T T T"
Tb 3.759 -3.087 1.887
Tb 0.000 0.000 1.887
Tb 3.759 3.087 1.887
Tb 0.000 4.244 1.887
Tb 0.000 0.000 5.662
Tb 0.000 10.419 1.887
Sm 3.759 0.000 0.000
Sm 0.000 7.332 0.000
Pb 1.365 2.093 0.000
Pb 1.365 -2.093 3.774
Pb 2.394 9.425 0.000
Pb 2.394 5.239 3.774
```

Calculated values
- ρ (Mg/m³) = 8.31
- total moment (μB/atom) = 0.000
- energy of formation (eV/atom) = -0.1633
- E_tot (eV/cell) = -54.01
- E above lowest polymorph (eV per formula unit) = 1.56

---

2.
## Ca2YTmS4 (PBE)

Data for a relaxed structure of Ca2YTmS4.

Geometry as extended XYZ:
```
8
Lattice="6.794 0.000 0.000 0.000 3.925 0.000 -2.268 0.000 6.521" Properties=species:S:1:pos:R:3 pbc="T T T"
Ca 0.000 0.000 0.000
Ca 3.397 1.962 0.000
Y -1.134 1.962 3.261
Tm 2.263 0.000 3.261
S 0.023 0.000 4.851
S 1.153 1.962 1.686
S 3.373 1.962 4.835
S 4.504 0.000 1.670
```

Calculated values
- ρ (Mg/m³) = 4.45
- total moment (μB/atom) = 0.000
- formation energy (no corrections) (eV/atom) = -2.044
- E_tot (eV/cell) = -47.80

---

3.
## LaTb2Sm2Tm (PBE)

Data for a relaxed structure of LaTb2Sm2Tm.

Geometry as extended XYZ:
```
12
Lattice="7.050 0.000 0.000 0.000 5.693 0.000 0.000 0.000 9.875" Properties=species:S:1:pos:R:3 pbc="T T T"
La 1.762 0.000 1.506
La 5.287 0.000 8.369
Tb 1.762 0.000 8.141
Tb 1.762 2.846 3.355
Tb 5.287 0.000 1.734
Tb 5.287 2.846 6.520
Sm 0.000 0.000 4.938
Sm 1.762 2.846 6.694
Sm 3.525 0.000 4.938
Sm 5.287 2.846 3.182
Tm 0.000 2.846 0.000
Tm 3.525 2.846 0.000
```

Calculated values
- ρ (Mg/m³) = 7.76
- total moment (μB/atom) = 0.000
- energy of formation (eV/atom) = 0.0667
- E_tot (eV/cell) = -55.40

---

4.
## LaScSe (PBE)

Data for a relaxed structure of LaScSe.

Geometry as extended XYZ:
```
3
Lattice="-1.825 1.825 5.819 1.825 -1.825 5.819 1.825 1.825 -5.819" Properties=species:S:1:pos:R:3 pbc="T T T"
La 0.000 0.000 0.000
Sc 0.000 0.000 3.550
Se 0.000 0.000 8.325
```

Calculated values
- ρ (Mg/m³) = 5.63
- total moment (μB/atom) = 0.157
- formation energy (no corrections) (eV/atom) = -0.942
- E_tot (eV/cell) = -17.57
- E above lowest polymorph (eV per formula unit) = 0.22

---

5.
## LaPdPt2 (PBE)

Data for a relaxed structure of LaPdPt2.

Geometry as extended XYZ:
```
8
Lattice="-2.064 2.064 9.711 2.064 -2.064 9.711 2.064 2.064 -9.711" Properties=species:S:1:pos:R:3 pbc="T T T"
La 0.000 0.000 0.000
La 0.000 2.064 4.856
Pd 2.064 0.000 4.856
Pd 0.000 0.000 9.711
Pt 1.032 -0.905 7.284
Pt 1.159 1.032 2.428
Pt 1.032 2.969 -2.428
Pt 0.905 1.032 12.139
```

Calculated values
- ρ (Mg/m³) = 12.75
- total moment (μB/atom) = 0.000
- energy of formation (eV/atom) = -0.5648
- E_tot (eV/cell) = -48.92

---

6.
## Sc3UTl4Te8 (PBE)

Data for a relaxed structure of Sc3UTl4Te8.

Geometry as extended XYZ:
```
16
Lattice="4.304 2.485 8.182 -4.304 2.485 8.182 0.000 -4.970 8.182" Properties=species:S:1:pos:R:3 pbc="T T T"
Sc -2.152 -1.243 8.182
Sc -2.152 1.243 16.365
Sc 0.000 2.485 8.182
U 0.000 0.000 0.000
Tl -4.304 0.000 12.274
Tl -2.152 1.243 4.091
Tl 2.152 1.243 4.091
Tl 0.000 0.000 12.274
Te 0.000 -2.398 9.883
Te -2.077 1.199 9.883
Te 0.000 0.000 6.540
Te -2.077 -1.199 14.664
Te 2.077 1.199 9.883
Te 0.000 0.000 18.007
Te 2.077 -1.199 14.664
Te 0.000 2.398 14.664
```

Calculated values
- ρ (Mg/m³) = 6.99
- total moment (μB/atom) = 0.190
- formation energy (no corrections) (eV/atom) = -0.813
- E_tot (eV/cell) = -77.88

---

Among the records above, which one has the lowest E_tot?
Sc3UTl4Te8

---

What did the fifth record say?
## LaPdPt2 (PBE)

Data for a relaxed structure of LaPdPt2.

Geometry as extended XYZ:
```
8
Lattice="-2.064 2.064 9.711 2.064 -2.064 9.711 2.064 2.064 -9.711" Properties=species:S:1:pos:R:3 pbc="T T T"
La 0.000 0.000 0.000
La 0.000 2.064 4.856
Pd 2.064 0.000 4.856
Pd 0.000 0.000 9.711
Pt 1.032 -0.905 7.284
Pt 1.159 1.032 2.428
Pt 1.032 2.969 -2.428
Pt 0.905 1.032 12.139
```

Calculated values
- ρ (Mg/m³) = 12.75
- total moment (μB/atom) = 0.000
- energy of formation (eV/atom) = -0.5648
- E_tot (eV/cell) = -48.92